# 1
The following is a PBE calculation of an optimized crystal structure of TbYRu, from Alexandria.

The space group is Fddd (No. 70, origin choice 2) and the conventional cell measures 9.571, 9.606 and 13.578 Å, with angles of 90.00, 90.00 and 90.00 degrees. The distinct sites, in fractional coordinates, are Tb at (0.125, 0.125, 0.000), Y at (0.125, 0.125, 0.500) and Ru at (0.123, 0.375, 0.375).

The calculation puts the formation enthalpy at 0 K at -75 kJ/mol of formula units. The calculation puts the uncorrected energy at -7.049 eV per atom. For the volume, the calculation gives 1248 Å³ per cell. As for the total magnetic moment: 0.000 μB per atom.

# 2
The following is a PBE calculation of an optimized crystal structure of Tb3YRu2, from Alexandria.

The space group is Ibam (No. 72) and the conventional cell measures 6.737, 13.536 and 7.059 Å, with angles of 90.00, 90.00 and 90.00 degrees. The distinct sites, in fractional coordinates, are Tb at (0.000, 0.000, 0.250), Tb at (0.000, 0.265, 0.250), Y at (0.000, 0.500, 0.000) and Ru at (0.221, 0.135, 0.000).

The calculation puts the formation enthalpy at 0 K at -125 kJ/mol of formula units. The calculation puts the uncorrected energy at -6.700 eV per atom. For the volume, the calculation gives 644 Å³ per cell. As for the total magnetic moment: 0.000 μB per atom.

# 3
The following is a PBE calculation of an optimized crystal structure of Tb2YRu, from Alexandria.

The space group is R-3m (No. 166, hexagonal axes) and the conventional cell measures 3.5245, 3.5245 and 31.9426 Å, with angles of 90.00, 90.00 and 120.00 degrees. The distinct sites, in fractional coordinates, are Tb at (0.0000, 0.0000, 0.1073), Y at (0.0000, 0.0000, 0.0000) and Ru at (0.0000, 0.0000, 0.5000).

The calculation puts the formation enthalpy at 0 K at 45 kJ/mol of formula units. The calculation puts the uncorrected energy at -6.133 eV per atom. For the volume, the calculation gives 344 Å³ per cell. As for the total magnetic moment: 0.121 μB per atom.